1.
DFT (GGA-PBE) results for a relaxed structure of NbPtRh.

It has space group P6_3/mmc (No. 194), with a = 4.5038 Å, b = 4.5038 Å, c = 5.5219 Å, α = 90.00°, β = 90.00° and γ = 120.00°. The inequivalent atoms are Nb at (0.3333, 0.6667, 0.2500), Pt at (0.3333, 0.6667, 0.7500) and Rh at (0.0000, 0.0000, 0.0000).

The calculation puts the mass density at 13.38 g/cm3. The energy of formation from the pure elements comes out at -48.4 kJ per mole of atoms. The calculation puts the final energy at -8.32 eV per atom.

=====

2.
DFT (GGA-PBE) results for a relaxed structure of NbPtRh4.

It has space group Cmmm (No. 65), with a = 4.3845 Å, b = 7.5710 Å, c = 5.4866 Å, α = 90.00°, β = 90.00° and γ = 90.00°. The inequivalent atoms are Nb at (0.0000, 0.0000, 0.0000), Pt at (0.0000, 0.0000, 0.5000) and Rh at (0.0000, 0.3331, 0.2552).

The calculation puts the mass density at 12.76 g/cm3. The energy of formation from the pure elements comes out at -20.9 kJ per mole of atoms. The calculation puts the final energy at -7.80 eV per atom.